CsCdWO4 | PBE with a Hubbard U | optimized geometry

Unit cell a=5.6391 b=6.1931 c=9.5131 alpha=90.00 beta=113.83 gamma=90.00
Sites, in units of the cell vectors:
Cs 0.5965 0.7500 0.8993
Cs 0.4035 0.2500 0.1007
Cd 0.9154 0.7500 0.5622
Cd 0.0846 0.2500 0.4378
W 0.2358 0.7500 0.2929
W 0.7642 0.2500 0.7071
O 0.9671 0.4932 0.7578
O 0.0329 0.9932 0.2422
O 0.0329 0.5068 0.2422
O 0.9671 0.0068 0.7578
O 0.4114 0.7500 0.1715
O 0.5886 0.2500 0.8285
O 0.4677 0.7500 0.4939
O 0.5323 0.2500 0.5061

N(E_F)	2.83	states/eV per cell
electronic total energy	-5.7380	eV/atom
calculated volume	304	Å³ per cell
space-group type	No. 11
total moment	0.00	μB per cell